[1]
The following is a DFT calculation (PBE) of an optimized crystal structure of LaW.

Output
Magnetization = 0.01 Bohr magnetons per cell
Energy of formation = 1.03 eV/atom

a = 2.9977 Å, b = 2.9977 Å, c = 5.6865 Å
α = 90.00°, β = 90.00°, γ = 120.00°
Space group P-6m2 (No. 187)
Unique sites:
1 La 0.0000 0.0000 0.0000 (multiplicity 1)
2 W 0.6667 0.3333 0.5000 (multiplicity 1)



[2]
The following is a DFT calculation (PBE) of an optimized crystal structure of YCuGeSe3.

Output
Magnetization = 0.01 Bohr magnetons per cell
E_tot = -120.89 eV for the cell shown

a = 3.9118 Å, b = 13.1597 Å, c = 10.5112 Å
α = 90.00°, β = 90.00°, γ = 90.00°
Space group Cmcm (No. 63)
Unique sites:
1 Y 0.0000 0.0000 0.0000 (multiplicity 4)
2 Cu 0.0000 0.4750 0.2500 (multiplicity 4)
3 Ge 0.0000 0.2226 0.7500 (multiplicity 4)
4 Se 0.0000 0.0923 0.2500 (multiplicity 4)
5 Se 0.0000 0.3524 0.0732 (multiplicity 8)



[3]
The following is a DFT calculation (PBE) of an optimized crystal structure of FeNi2As.

Output
Magnetization = 10.16 Bohr magnetons per cell
E_tot = -97.09 eV for the cell shown

a = 5.6591 Å, b = 5.6591 Å, c = 5.6591 Å
α = 90.00°, β = 90.00°, γ = 90.00°
Space group F-43m (No. 216)
Unique sites:
1 Fe 0.0000 0.0000 0.0000 (multiplicity 4)
2 Ni 0.0000 0.0000 0.5000 (multiplicity 4)
3 Ni 0.2500 0.2500 0.2500 (multiplicity 4)
4 As 0.2500 0.2500 0.7500 (multiplicity 4)



[4]
The following is a DFT calculation (PBE) of an optimized crystal structure of HfGeSb.

Output
Magnetization = 0.02 Bohr magnetons per cell
E_tot = -71.38 eV for the cell shown

a = 6.6428 Å, b = 6.6428 Å, c = 6.6428 Å
α = 90.00°, β = 90.00°, γ = 90.00°
Space group F-43m (No. 216)
Unique sites:
1 Hf 0.0000 0.0000 0.0000 (multiplicity 4)
2 Ge 0.2500 0.2500 0.2500 (multiplicity 4)
3 Sb 0.0000 0.0000 0.5000 (multiplicity 4)



[5]
The following is a DFT calculation (PBE) of an optimized crystal structure of Th2Tc2C3.

Output
Magnetization = 0.00 Bohr magnetons per cell
E_tot = -130.46 eV for the cell shown

a = 12.0370 Å, b = 3.4234 Å, c = 5.7780 Å
α = 90.00°, β = 114.61°, γ = 90.00°
Space group C2/m (No. 12)
Unique sites:
1 Th 0.1054 0.0000 0.3103 (multiplicity 4)
2 Tc 0.1575 0.5000 0.8275 (multiplicity 4)
3 C 0.0000 0.5000 0.5000 (multiplicity 2)
4 C 0.2448 0.0000 0.7681 (multiplicity 4)



[6]
The following is a DFT calculation (PBE) of an optimized crystal structure of UTaOs.

Output
Magnetization = 0.07 Bohr magnetons per cell
Energy of formation = 0.85 eV/atom

a = 6.2999 Å, b = 6.2999 Å, c = 6.2999 Å
α = 90.00°, β = 90.00°, γ = 90.00°
Space group F-43m (No. 216)
Unique sites:
1 U 0.0000 0.0000 0.0000 (multiplicity 4)
2 Ta 0.2500 0.2500 0.2500 (multiplicity 4)
3 Os 0.2500 0.2500 0.7500 (multiplicity 4)



[7]
The following is a DFT calculation (PBE) of an optimized crystal structure of YTm2In3Pt2Au.

Output
Magnetization = 0.01 Bohr magnetons per cell
E_tot = -94.42 eV for the cell shown

a = 3.7618 Å, b = 13.5059 Å, c = 7.7652 Å
α = 90.00°, β = 90.00°, γ = 90.00°
Space group Amm2 (No. 38)
Unique sites:
1 Y 0.0000 0.0000 0.0000 (multiplicity 2)
2 Tm 0.0000 0.2035 0.6096 (multiplicity 4)
3 In 0.5000 0.0000 0.6769 (multiplicity 2)
4 In 0.5000 0.1352 0.2711 (multiplicity 4)
5 Pt 0.5000 0.1689 0.9050 (multiplicity 4)
6 Au 0.0000 0.0000 0.4081 (multiplicity 2)



[8]
The following is a DFT calculation (PBE) of an optimized crystal structure of Ac4Ir2I.

Output
Magnetization = 0.04 Bohr magnetons per cell
E_tot = -125.20 eV for the cell shown

a = 4.4041 Å, b = 4.4041 Å, c = 46.7490 Å
α = 90.00°, β = 90.00°, γ = 120.00°
Space group R-3m (No. 166, hexagonal axes)
Unique sites:
1 Ac 0.0000 0.0000 0.1249 (multiplicity 6)
2 Ac 0.0000 0.0000 0.2750 (multiplicity 6)
3 Ir 0.0000 0.0000 0.4255 (multiplicity 6)
4 I 0.0000 0.0000 0.0000 (multiplicity 3)



[9]
The following is a DFT calculation (PBE) of an optimized crystal structure of RbLiNiMo.

Output
Magnetization = 1.25 Bohr magnetons per cell
E_tot = -55.17 eV for the cell shown

a = 6.5509 Å, b = 6.5509 Å, c = 6.5509 Å
α = 90.00°, β = 90.00°, γ = 90.00°
Space group F-43m (No. 216)
Unique sites:
1 Rb 0.0000 0.0000 0.0000 (multiplicity 4)
2 Li 0.2500 0.2500 0.2500 (multiplicity 4)
3 Ni 0.0000 0.0000 0.5000 (multiplicity 4)
4 Mo 0.2500 0.2500 0.7500 (multiplicity 4)



[10]
The following is a DFT calculation (PBE) of an optimized crystal structure of K2Pd3S2.

Output
E_tot = -89.21 eV for the cell shown

a = 5.9971 Å, b = 5.9971 Å, c = 17.9617 Å
α = 90.00°, β = 90.00°, γ = 120.00°
Space group R-3m (No. 166, hexagonal axes)
Unique sites:
1 K 0.0000 0.0000 0.0000 (multiplicity 3)
2 K 0.0000 0.0000 0.5000 (multiplicity 3)
3 Pd 0.0000 0.5000 0.0000 (multiplicity 9)
4 S 0.0000 0.0000 0.2461 (multiplicity 6)



[11]
The following is a DFT calculation (PBE) of an optimized crystal structure of CsWI6.

Output
Magnetization = 4.04 Bohr magnetons per cell
E_tot = -105.93 eV for the cell shown

a = 13.6446 Å, b = 7.2062 Å, c = 14.0944 Å
α = 90.00°, β = 101.72°, γ = 90.00°
Space group C2/c (No. 15)
Unique sites:
1 Cs 0.0000 0.0949 0.2500 (multiplicity 4)
2 W 0.2500 0.2500 0.0000 (multiplicity 4)
3 I 0.0737 0.3945 0.8974 (multiplicity 8)
4 I 0.1512 0.0631 0.5373 (multiplicity 8)
5 I 0.2135 0.4141 0.1655 (multiplicity 8)



[12]
The following is a DFT calculation (PBE) of an optimized crystal structure of Ac3Zn2Se.

Output
Magnetization = 0.02 Bohr magnetons per cell
E_tot = -17.73 eV for the cell shown

a = 7.4626 Å, b = 7.4626 Å, c = 4.5987 Å
α = 90.00°, β = 90.00°, γ = 120.00°
Space group P6/mmm (No. 191)
Unique sites:
1 Ac 0.0000 0.5000 0.0000 (multiplicity 3)
2 Zn 0.3333 0.6667 0.5000 (multiplicity 2)
3 Se 0.0000 0.0000 0.5000 (multiplicity 1)